Entry from OQMD via LeMat-Bulk: DyThCo after structural relaxation (PBE).

Structure (CIF):
```
data_DyThCo
_chemical_formula_sum 'Dy1 Th1 Co1'
_cell_length_a 4.719
_cell_length_b 4.719
_cell_length_c 4.719
_cell_angle_alpha 60.00
_cell_angle_beta 60.00
_cell_angle_gamma 60.00
_space_group_name_H-M_alt 'P 1'
_space_group_IT_number 1
loop_
_space_group_symop_operation_xyz
'x,y,z'
loop_
_atom_site_label
_atom_site_fract_x
_atom_site_fract_y
_atom_site_fract_z
_atom_site_occupancy
Dy1 0.000 0.000 0.000 1
Th1 0.750 0.750 0.750 1
Co1 0.500 0.500 0.500 1
```

**Calculated volume**: 24.8 Å³ per atom
**ΔH_f (0 K)**: 805.5 meV/atom
**Polymorph energy (0 for the lowest one)**: 0.0000 eV/atom



Entry from OQMD via LeMat-Bulk: Dy12TlCo6 after structural relaxation (PBE).

Structure (CIF):
```
data_Dy12TlCo6
_chemical_formula_sum 'Dy12 Tl1 Co6'
_cell_length_a 8.347
_cell_length_b 8.347
_cell_length_c 8.347
_cell_angle_alpha 109.47
_cell_angle_beta 109.47
_cell_angle_gamma 109.47
_space_group_name_H-M_alt 'P 1'
_space_group_IT_number 1
loop_
_space_group_symop_operation_xyz
'x,y,z'
loop_
_atom_site_label
_atom_site_fract_x
_atom_site_fract_y
_atom_site_fract_z
_atom_site_occupancy
Dy1 0.109 0.806 0.303 1
Dy2 0.194 0.303 0.497 1
Dy3 0.194 0.697 0.891 1
Dy4 0.303 0.109 0.806 1
Dy5 0.303 0.497 0.194 1
Dy6 0.497 0.194 0.303 1
Dy7 0.503 0.806 0.697 1
Dy8 0.697 0.503 0.806 1
Dy9 0.697 0.891 0.194 1
Dy10 0.806 0.303 0.109 1
Dy11 0.806 0.697 0.503 1
Dy12 0.891 0.194 0.697 1
Tl1 0.000 0.000 0.000 1
Co1 0.113 0.613 0.500 1
Co2 0.387 0.500 0.887 1
Co3 0.500 0.113 0.613 1
Co4 0.500 0.887 0.387 1
Co5 0.613 0.500 0.113 1
Co6 0.887 0.387 0.500 1
```

**Calculated volume**: 23.6 Å³ per atom
**E**: -5.512 eV per atom



Entry from OQMD via LeMat-Bulk: Dy6TlCo2 after structural relaxation (PBE).

Structure (CIF):
```
data_Dy6TlCo2
_chemical_formula_sum 'Dy12 Tl2 Co4'
_cell_length_a 8.381
_cell_length_b 8.381
_cell_length_c 8.381
_cell_angle_alpha 111.62
_cell_angle_beta 109.83
_cell_angle_gamma 107.00
_space_group_name_H-M_alt 'P 1'
_space_group_IT_number 1
loop_
_space_group_symop_operation_xyz
'x,y,z'
loop_
_atom_site_label
_atom_site_fract_x
_atom_site_fract_y
_atom_site_fract_z
_atom_site_occupancy
Dy1 0.018 0.230 0.788 1
Dy2 0.187 0.289 0.476 1
Dy3 0.187 0.711 0.898 1
Dy4 0.315 0.011 0.696 1
Dy5 0.315 0.619 0.304 1
Dy6 0.442 0.230 0.212 1
Dy7 0.558 0.770 0.788 1
Dy8 0.685 0.381 0.696 1
Dy9 0.685 0.989 0.304 1
Dy10 0.813 0.289 0.102 1
Dy11 0.813 0.711 0.524 1
Dy12 0.982 0.770 0.212 1
Tl1 0.000 0.000 0.000 1
Tl2 0.500 0.500 0.000 1
Co1 0.112 0.612 0.500 1
Co2 0.380 0.000 0.380 1
Co3 0.620 0.000 0.620 1
Co4 0.888 0.388 0.500 1
```

**Calculated volume**: 25.1 Å³ per atom
**E**: -5.149 eV per atom



Entry from OQMD via LeMat-Bulk: DyYTlCo2 after structural relaxation (PBE).

Structure (CIF):
```
data_DyYTlCo2
_chemical_formula_sum 'Dy1 Y1 Tl1 Co2'
_cell_length_a 3.843
_cell_length_b 7.274
_cell_length_c 7.274
_cell_angle_alpha 30.42
_cell_angle_beta 90.00
_cell_angle_gamma 90.00
_space_group_name_H-M_alt 'P 1'
_space_group_IT_number 1
loop_
_space_group_symop_operation_xyz
'x,y,z'
loop_
_atom_site_label
_atom_site_fract_x
_atom_site_fract_y
_atom_site_fract_z
_atom_site_occupancy
Dy1 0.000 0.000 0.000 1
Y1 0.000 0.720 0.720 1
Tl1 0.500 0.360 0.360 1
Co1 0.500 0.153 0.153 1
Co2 0.500 0.566 0.566 1
```

**Calculated volume**: 20.6 Å³ per atom
**E**: -5.817 eV per atom



Entry from OQMD via LeMat-Bulk: DyTmCo after structural relaxation (PBE).

Structure (CIF):
```
data_DyTmCo
_chemical_formula_sum 'Dy1 Tm1 Co1'
_cell_length_a 4.644
_cell_length_b 4.644
_cell_length_c 4.644
_cell_angle_alpha 60.00
_cell_angle_beta 60.00
_cell_angle_gamma 60.00
_space_group_name_H-M_alt 'P 1'
_space_group_IT_number 1
loop_
_space_group_symop_operation_xyz
'x,y,z'
loop_
_atom_site_label
_atom_site_fract_x
_atom_site_fract_y
_atom_site_fract_z
_atom_site_occupancy
Dy1 0.000 0.000 0.000 1
Tm1 0.500 0.500 0.500 1
Co1 0.250 0.250 0.250 1
```

**Calculated volume**: 23.6 Å³ per atom
**ΔH_f (0 K)**: -79.3 meV/atom
**Polymorph energy (0 for the lowest one)**: 0.0000 eV/atom



Entry from OQMD via LeMat-Bulk: Dy2TmCo9 after structural relaxation (PBE).

Structure (CIF):
```
data_Dy2TmCo9
_chemical_formula_sum 'Dy2 Tm1 Co9'
_cell_length_a 8.565
_cell_length_b 8.565
_cell_length_c 8.565
_cell_angle_alpha 33.41
_cell_angle_beta 33.41
_cell_angle_gamma 33.41
_space_group_name_H-M_alt 'P 1'
_space_group_IT_number 1
loop_
_space_group_symop_operation_xyz
'x,y,z'
loop_
_atom_site_label
_atom_site_fract_x
_atom_site_fract_y
_atom_site_fract_z
_atom_site_occupancy
Dy1 0.140 0.140 0.140 1
Dy2 0.860 0.860 0.860 1
Tm1 0.000 0.000 0.000 1
Co1 0.078 0.582 0.582 1
Co2 0.335 0.335 0.335 1
Co3 0.418 0.418 0.922 1
Co4 0.418 0.922 0.418 1
Co5 0.500 0.500 0.500 1
Co6 0.582 0.078 0.582 1
Co7 0.582 0.582 0.078 1
Co8 0.665 0.665 0.665 1
Co9 0.922 0.418 0.418 1
```

**Calculated volume**: 14.1 Å³ per atom
**ΔH_f (0 K)**: -182.6 meV/atom



Entry from OQMD via LeMat-Bulk: DyTm2Co9 after structural relaxation (PBE).

Structure (CIF):
```
data_DyTm2Co9
_chemical_formula_sum 'Dy1 Tm2 Co9'
_cell_length_a 8.507
_cell_length_b 8.507
_cell_length_c 8.507
_cell_angle_alpha 33.73
_cell_angle_beta 33.73
_cell_angle_gamma 33.73
_space_group_name_H-M_alt 'P 1'
_space_group_IT_number 1
loop_
_space_group_symop_operation_xyz
'x,y,z'
loop_
_atom_site_label
_atom_site_fract_x
_atom_site_fract_y
_atom_site_fract_z
_atom_site_occupancy
Dy1 0.000 0.000 0.000 1
Tm1 0.140 0.140 0.140 1
Tm2 0.860 0.860 0.860 1
Co1 0.078 0.584 0.584 1
Co2 0.335 0.335 0.335 1
Co3 0.416 0.416 0.922 1
Co4 0.416 0.922 0.416 1
Co5 0.500 0.500 0.500 1
Co6 0.584 0.078 0.584 1
Co7 0.584 0.584 0.078 1
Co8 0.665 0.665 0.665 1
Co9 0.922 0.416 0.416 1
```

**Calculated volume**: 14.1 Å³ per atom
**ΔH_f (0 K)**: -207.9 meV/atom



Entry from OQMD via LeMat-Bulk: DyTmCo4 after structural relaxation (PBE).

Structure (CIF):
```
data_DyTmCo4
_chemical_formula_sum 'Dy1 Tm1 Co4'
_cell_length_a 5.019
_cell_length_b 5.019
_cell_length_c 5.019
_cell_angle_alpha 60.00
_cell_angle_beta 60.00
_cell_angle_gamma 60.00
_space_group_name_H-M_alt 'P 1'
_space_group_IT_number 1
loop_
_space_group_symop_operation_xyz
'x,y,z'
loop_
_atom_site_label
_atom_site_fract_x
_atom_site_fract_y
_atom_site_fract_z
_atom_site_occupancy
Dy1 0.000 0.000 0.000 1
Tm1 0.250 0.250 0.250 1
Co1 0.126 0.625 0.625 1
Co2 0.625 0.126 0.625 1
Co3 0.625 0.625 0.126 1
Co4 0.625 0.625 0.625 1
```

**Calculated volume**: 14.9 Å³ per atom
**ΔH_f (0 K)**: -229.7 meV/atom



Entry from OQMD via LeMat-Bulk: DyYCo2 after structural relaxation (PBE).

Structure (CIF):
```
data_DyYCo2
_chemical_formula_sum 'Dy2 Y2 Co4'
_cell_length_a 3.896
_cell_length_b 5.532
_cell_length_c 7.373
_cell_angle_alpha 90.00
_cell_angle_beta 90.00
_cell_angle_gamma 90.00
_space_group_name_H-M_alt 'P 1'
_space_group_IT_number 1
loop_
_space_group_symop_operation_xyz
'x,y,z'
loop_
_atom_site_label
_atom_site_fract_x
_atom_site_fract_y
_atom_site_fract_z
_atom_site_occupancy
Dy1 0.000 0.130 0.000 1
Dy2 0.000 0.870 0.500 1
Y1 0.500 0.369 0.644 1
Y2 0.500 0.631 0.144 1
Co1 0.000 0.347 0.348 1
Co2 0.000 0.653 0.848 1
Co3 0.500 0.147 0.294 1
Co4 0.500 0.853 0.794 1
```

**Calculated volume**: 19.9 Å³ per atom
**ΔH_f (0 K)**: -197.6 meV/atom



Entry from OQMD via LeMat-Bulk: DyYCo2 after structural relaxation (PBE).

Structure (CIF):
```
data_DyYCo2
_chemical_formula_sum 'Dy2 Y2 Co4'
_cell_length_a 3.836
_cell_length_b 7.398
_cell_length_c 5.550
_cell_angle_alpha 90.00
_cell_angle_beta 90.00
_cell_angle_gamma 90.00
_space_group_name_H-M_alt 'P 1'
_space_group_IT_number 1
loop_
_space_group_symop_operation_xyz
'x,y,z'
loop_
_atom_site_label
_atom_site_fract_x
_atom_site_fract_y
_atom_site_fract_z
_atom_site_occupancy
Dy1 0.000 0.072 0.000 1
Dy2 0.500 0.928 0.500 1
Y1 0.000 0.572 0.254 1
Y2 0.500 0.428 0.754 1
Co1 0.000 0.219 0.478 1
Co2 0.000 0.724 0.775 1
Co3 0.500 0.276 0.275 1
Co4 0.500 0.781 0.978 1
```

**Calculated volume**: 19.7 Å³ per atom
**ΔH_f (0 K)**: -196.4 meV/atom



Entry from OQMD via LeMat-Bulk: DyY2Co9 after structural relaxation (PBE).

Structure (CIF):
```
data_DyY2Co9
_chemical_formula_sum 'Dy1 Y2 Co9'
_cell_length_a 8.572
_cell_length_b 8.572
_cell_length_c 8.572
_cell_angle_alpha 33.62
_cell_angle_beta 33.62
_cell_angle_gamma 33.62
_space_group_name_H-M_alt 'P 1'
_space_group_IT_number 1
loop_
_space_group_symop_operation_xyz
'x,y,z'
loop_
_atom_site_label
_atom_site_fract_x
_atom_site_fract_y
_atom_site_fract_z
_atom_site_occupancy
Dy1 0.000 0.000 0.000 1
Y1 0.140 0.140 0.140 1
Y2 0.860 0.860 0.860 1
Co1 0.079 0.582 0.582 1
Co2 0.335 0.335 0.335 1
Co3 0.418 0.418 0.921 1
Co4 0.418 0.921 0.418 1
Co5 0.500 0.500 0.500 1
Co6 0.582 0.079 0.582 1
Co7 0.582 0.582 0.079 1
Co8 0.665 0.665 0.665 1
Co9 0.921 0.418 0.418 1
```

**Calculated volume**: 14.3 Å³ per atom
**ΔH_f (0 K)**: -162.8 meV/atom



Q: Look up the calculated volume of the eleventh one.
A: 14.3 Å³ per atom



Q: The highest calculated volume belongs to which entry?
A: Dy6TlCo2